Below is a relaxed Zn2In2Pb3 crystal, with properties calculated at the PBE level.

Volume = 28.71 Å³/atom
VASP energy = -2.546 eV per atom
Space-group type = R3m (160)

abc: 8.839 8.839 8.839
angles: 34.82 34.82 34.82
Fractional positions:
Zn 0.755 0.755 0.755
Zn 0.242 0.242 0.242
Pb 0.372 0.372 0.372
Pb 0.876 0.876 0.876
Pb 0.624 0.624 0.624
In 0.495 0.495 0.495
In 0.012 0.012 0.012